The following is a PBE calculation of crystalline ZrNi2N at its relaxed geometry, from Alexandria.

Calculated values
- ΔE_f (raw): -2.43 eV per formula unit
- Total moment: 0.000 μB/atom
- Density of states at the Fermi level: 0.6898 states/eV/atom

abc: 7.238 7.238 7.238
angles: 153.47 44.09 145.45
Atoms (fractional coordinates):
Zr 0.175 0.000 0.175
Zr 0.825 0.000 0.825
Ni 0.382 0.000 0.382
Ni 0.495 0.495 0.000
Ni 0.618 0.000 0.618
Ni 0.999 0.499 0.500
N 0.292 0.500 0.791
N 0.709 0.500 0.209